Computed, not measured: a relaxed TaBeRe2 crystal at the GGA-PBE level of DFT.

The structure in POSCAR format:
```
TaBeRe2
1.0
-1.5572 2.1586 4.3278
1.5572 -2.1586 4.3278
1.5572 2.1586 -4.3278
Ta Be Re
1 1 2
Cartesian
0.0000 0.0000 0.0000
1.5572 0.0000 2.2908
0.0000 0.0000 4.3246
0.0000 2.1586 2.1184
```

Calculated values
- Energy: -10.10 eV/atom
- Formation enthalpy at 0 K: 0.016 eV per atom
- Total magnetization: 0.00 μB per formula unit
- Density: 16.049 g cm⁻³

---

Computed, not measured: a relaxed TaBe9Re2 crystal at the GGA-PBE level of DFT.

The structure in POSCAR format:
```
TaBe9Re2
1.0
2.1937 1.2665 6.9323
-2.1937 1.2665 6.9323
0.0000 -2.5331 6.9323
Ta Be Re
1 9 2
Cartesian
0.0000 0.0000 0.0000
-1.1095 -0.6405 8.6460
0.0000 0.0000 6.9388
0.0000 -1.2811 12.1510
-1.1095 0.6405 12.1510
0.0000 0.0000 10.3985
1.1095 -0.6405 8.6460
0.0000 1.2811 8.6460
0.0000 0.0000 13.8582
1.1095 0.6405 12.1510
0.0000 0.0000 3.0189
0.0000 0.0000 17.7781
```

Calculated values
- Energy: -6.13 eV/atom
- Formation enthalpy at 0 K: -0.274 eV per atom
- Total magnetization: 0.00 μB per formula unit
- Density: 9.117 g cm⁻³

---

Computed, not measured: a relaxed TaBeRe crystal at the GGA-PBE level of DFT.

The structure in POSCAR format:
```
TaBeRe
1.0
0.0000 2.9893 2.9893
2.9893 0.0000 2.9893
2.9893 2.9893 0.0000
Ta Be Re
1 1 1
Cartesian
0.0000 0.0000 0.0000
4.4839 4.4839 4.4839
1.4946 1.4946 1.4946
```

Calculated values
- Energy: -8.38 eV/atom
- Formation enthalpy at 0 K: 0.967 eV per atom
- Total magnetization: 0.00 μB per formula unit
- Density: 11.692 g cm⁻³

---

Computed, not measured: a relaxed TaTiBeRe crystal at the GGA-PBE level of DFT.

The structure in POSCAR format:
```
TaTiBeRe
1.0
0.0000 3.1042 3.1042
3.1042 0.0000 3.1042
3.1042 3.1042 0.0000
Ta Ti Be Re
1 1 1 1
Cartesian
0.0000 0.0000 0.0000
3.1042 3.1042 3.1042
4.6564 4.6564 4.6564
1.5521 1.5521 1.5521
```

Calculated values
- Energy: -9.16 eV/atom
- Formation enthalpy at 0 K: -0.178 eV per atom
- Total magnetization: 0.00 μB per formula unit
- Density: 11.769 g cm⁻³

---

Computed, not measured: a relaxed TaBeReW2 crystal at the GGA-PBE level of DFT.

The structure in POSCAR format:
```
TaBeReW2
1.0
4.7468 0.0000 0.0000
0.0000 4.7468 0.0000
0.0000 0.0000 4.1297
Ta Be Re W
1 1 1 2
Cartesian
0.0000 0.0000 0.0000
0.0000 0.0000 2.0649
2.3734 2.3734 2.0649
0.0000 2.3734 0.0000
2.3734 0.0000 0.0000
```

Calculated values
- Energy: -8.36 eV/atom
- Formation enthalpy at 0 K: 2.427 eV per atom
- Total magnetization: 0.00 μB per formula unit
- Density: 13.274 g cm⁻³

---

Computed, not measured: a relaxed Be2ReTc crystal at the GGA-PBE level of DFT.

The structure in POSCAR format:
```
Be2ReTc
1.0
2.5968 -3.7368 0.0000
2.5968 3.7368 0.0000
-0.7513 0.0000 2.4766
Be Re Tc
2 1 1
Cartesian
1.2984 1.8684 0.0000
1.2984 -1.8684 0.0000
-0.3756 0.0000 1.2383
2.2212 0.0000 1.2383
```

Calculated values
- Energy: -7.48 eV/atom
- Formation enthalpy at 0 K: 0.088 eV per atom
- Total magnetization: 0.00 μB per formula unit
- Density: 10.441 g cm⁻³

---

Computed, not measured: a relaxed Be2ReTc2 crystal at the GGA-PBE level of DFT.

The structure in POSCAR format:
```
Be2ReTc2
1.0
6.2317 0.0000 0.0000
0.0000 6.2317 0.0000
0.0000 0.0000 3.0199
Be Re Tc
4 2 4
Cartesian
0.7595 2.3563 0.0000
2.3563 5.4722 0.0000
3.8754 0.7595 0.0000
5.4722 3.8754 0.0000
0.0000 0.0000 0.0000
3.1159 3.1159 0.0000
1.0711 4.1870 1.5099
2.0447 1.0711 1.5099
4.1870 5.1606 1.5099
5.1606 2.0447 1.5099
```

Calculated values
- Energy: -8.35 eV/atom
- Formation enthalpy at 0 K: -0.224 eV per atom
- Total magnetization: 0.00 μB per formula unit
- Density: 11.334 g cm⁻³

---

Computed, not measured: a relaxed Be3ReTc crystal at the GGA-PBE level of DFT.

The structure in POSCAR format:
```
Be3ReTc
1.0
4.0021 0.0000 0.0000
0.0000 4.0021 0.0000
0.0000 0.0000 4.0021
Be Re Tc
3 1 1
Cartesian
0.0000 0.0000 2.0010
0.0000 2.0010 0.0000
2.0010 0.0000 0.0000
2.0010 2.0010 2.0010
0.0000 0.0000 0.0000
```

Calculated values
- Energy: -5.59 eV/atom
- Formation enthalpy at 0 K: 1.209 eV per atom
- Total magnetization: 1.48 μB per formula unit
- Density: 8.063 g cm⁻³

---

Computed, not measured: a relaxed Be2ReTc crystal at the GGA-PBE level of DFT.

The structure in POSCAR format:
```
Be2ReTc
1.0
1.5528 -2.0735 0.0000
1.5528 2.0735 0.0000
0.0000 0.0000 7.4444
Be Re Tc
2 1 1
Cartesian
0.0000 0.0000 1.8495
0.0000 0.0000 5.5949
1.5528 0.0000 3.7222
1.5528 0.0000 0.0000
```

Calculated values
- Energy: -7.48 eV/atom
- Formation enthalpy at 0 K: 0.083 eV per atom
- Total magnetization: 0.00 μB per formula unit
- Density: 10.469 g cm⁻³

---

Computed, not measured: a relaxed Be17ReTc crystal at the GGA-PBE level of DFT.

The structure in POSCAR format:
```
Be17ReTc
1.0
3.6193 2.0896 3.5090
-3.6193 2.0896 3.5090
0.0000 -4.1792 3.5090
Be Re Tc
17 1 1
Cartesian
0.0000 0.0000 0.5393
-1.1003 -2.2768 5.1204
-2.5220 0.1855 5.1204
0.0000 -2.0819 3.3717
-1.8030 1.0410 3.3717
0.0000 0.0000 2.6831
-1.7686 -1.0211 6.7237
1.1003 -2.2768 5.1204
-1.4216 2.0913 5.1204
0.0000 -2.0329 7.0181
-1.7605 1.0165 7.0181
1.8030 1.0410 3.3717
1.7686 -1.0211 6.7237
0.0000 2.0422 6.7237
2.5220 0.1855 5.1204
1.4216 2.0913 5.1204
1.7605 1.0165 7.0181
0.0000 0.0000 5.1655
0.0000 0.0000 8.5778
```

Calculated values
- Energy: -4.69 eV/atom
- Formation enthalpy at 0 K: -0.151 eV per atom
- Total magnetization: 0.00 μB per formula unit
- Density: 4.562 g cm⁻³

---

Computed, not measured: a relaxed Be2ReTc crystal at the GGA-PBE level of DFT.

The structure in POSCAR format:
```
Be2ReTc
1.0
2.9499 0.0000 0.0000
0.0000 2.9499 0.0000
0.0000 0.0000 5.5318
Be Re Tc
2 1 1
Cartesian
0.0000 0.0000 0.0000
1.4750 1.4750 1.0583
0.0000 0.0000 2.5786
1.4750 1.4750 4.0259
```

Calculated values
- Energy: -7.59 eV/atom
- Formation enthalpy at 0 K: -0.021 eV per atom
- Total magnetization: 0.00 μB per formula unit
- Density: 10.426 g cm⁻³

---

Computed, not measured: a relaxed Be2ReTc crystal at the GGA-PBE level of DFT.

The structure in POSCAR format:
```
Be2ReTc
1.0
3.0959 0.0000 0.0000
0.0000 3.7303 0.0000
0.0000 0.0000 4.1505
Be Re Tc
2 1 1
Cartesian
0.0000 0.0000 0.0000
1.5480 0.0000 2.0752
0.0000 1.8651 2.0752
1.5480 1.8651 0.0000
```

Calculated values
- Energy: -7.48 eV/atom
- Formation enthalpy at 0 K: 0.082 eV per atom
- Total magnetization: 0.00 μB per formula unit
- Density: 10.470 g cm⁻³

---

Computed, not measured: a relaxed BeReTc4 crystal at the GGA-PBE level of DFT.

The structure in POSCAR format:
```
BeReTc4
1.0
0.0000 3.5567 3.5567
3.5567 0.0000 3.5567
3.5567 3.5567 0.0000
Be Re Tc
1 1 4
Cartesian
0.0000 0.0000 0.0000
5.3351 5.3351 5.3351
2.6602 2.6602 2.6602
4.4533 4.4533 2.6602
4.4533 2.6602 4.4533
2.6602 4.4533 4.4533
```

Calculated values
- Energy: -9.12 eV/atom
- Formation enthalpy at 0 K: 0.485 eV per atom
- Total magnetization: 0.00 μB per formula unit
- Density: 10.836 g cm⁻³

---

Computed, not measured: a relaxed Be2ReTc crystal at the GGA-PBE level of DFT.

The structure in POSCAR format:
```
Be2ReTc
1.0
2.5856 0.0000 0.0000
0.0000 3.7326 0.0000
-1.0794 0.0000 4.9682
Be Re Tc
2 1 1
Cartesian
0.3568 0.0000 1.2403
1.1494 0.0000 3.7279
1.2928 1.8663 0.0000
-0.5397 1.8663 2.4841
```

Calculated values
- Energy: -7.49 eV/atom
- Formation enthalpy at 0 K: 0.079 eV per atom
- Total magnetization: 0.00 μB per formula unit
- Density: 10.467 g cm⁻³